PmDyHoCd | PBE-GGA | relaxed

## Properties
The value obtained for the energy above the most stable polymorph in this dataset is 0.000 eV per atom. The total magnetic moment comes out at 0.000 μB/atom. The value obtained for the density of states at the Fermi level is 3.98 states/eV/f.u. The formation energy is -150 meV/atom.

a = 3.613 Å, b = 3.613 Å, c = 9.033 Å
α = 90.00°, β = 90.00°, γ = 90.00°
Fractional coordinates of all 4 atoms:
Pm (0.000, 0.000, 0.000)
Dy (0.500, 0.500, 0.722)
Ho (0.500, 0.500, 0.277)
Cd (0.000, 0.000, 0.498)